LaNd6Er2 | PBE-GGA | optimized geometry

## Properties
Relative energy among the computed polymorphs ... 109.1 meV/atom
Space-group type ... P-31m
Formation energy ... 0.13 eV/atom
Volume ... 311.0 Å³ per cell
Energy ... -4.612 eV/atom

abc: 10.146 10.146 3.488
angles: 90.00 90.00 120.00
Fractional coordinates of all 9 atoms:
La 0.000 0.000 0.000
Nd 0.000 0.343 0.223
Nd 0.000 0.657 0.777
Nd 0.343 0.000 0.223
Nd 0.343 0.343 0.777
Nd 0.657 0.000 0.777
Nd 0.657 0.657 0.223
Er 0.333 0.667 0.500
Er 0.667 0.333 0.500

***

CaCu2Pd5 | PBE-GGA | optimized geometry

## Properties
Space-group type ... Immm
Formation energy ... -0.18 eV/atom
Volume ... 136.3 Å³ per cell
Energy ... -4.703 eV/atom

abc: 6.447 6.447 6.447
angles: 146.77 108.00 81.63
Fractional coordinates of all 8 atoms:
Ca 0.000 0.000 0.000
Cu 0.240 0.740 0.500
Cu 0.760 0.260 0.500
Pd 0.159 0.353 0.807
Pd 0.454 0.647 0.807
Pd 0.500 0.000 0.500
Pd 0.546 0.353 0.193
Pd 0.841 0.647 0.193

***

LiIn3Pb12 | PBE-GGA | optimized geometry

## Properties
Space-group type ... P4/mmm
Formation energy ... -0.02 eV/atom
Volume ... 479.8 Å³ per cell
Energy ... -3.436 eV/atom

abc: 4.830 4.830 20.567
angles: 90.00 90.00 90.00
Fractional coordinates of all 16 atoms:
Li 0.000 0.000 0.000
In 0.000 0.000 0.247
In 0.000 0.000 0.500
In 0.000 0.000 0.753
Pb 0.000 0.500 0.118
Pb 0.000 0.500 0.372
Pb 0.000 0.500 0.628
Pb 0.000 0.500 0.882
Pb 0.500 0.000 0.118
Pb 0.500 0.000 0.372
Pb 0.500 0.000 0.628
Pb 0.500 0.000 0.882
Pb 0.500 0.500 0.000
Pb 0.500 0.500 0.245
Pb 0.500 0.500 0.500
Pb 0.500 0.500 0.755

***

GdCdPdRu | PBE-GGA | optimized geometry

## Properties
Space-group type ... F-43m
Formation energy ... -0.29 eV/atom
Volume ... 75.9 Å³ per cell
Energy ... -7.657 eV/atom

abc: 4.753 4.753 4.753
angles: 60.00 60.00 60.00
Fractional coordinates of all 4 atoms:
Gd 0.000 0.000 0.000
Cd 0.500 0.500 0.500
Pd 0.750 0.750 0.750
Ru 0.250 0.250 0.250